Material: BaMg2Tl4Cd
Method: DFT, PBE
State: relaxed

The structure in POSCAR format:
```
BaMg2Tl4Cd
1.0
2.6247 1.5154 9.9204
-2.6247 1.5154 9.9204
0.0000 -3.0308 9.9204
Ba Mg Tl Cd
1 2 4 1
Direct
0.0000 0.0000 0.0000
0.2403 0.2403 0.2403
0.7597 0.7597 0.7597
0.1283 0.1283 0.1283
0.3963 0.3963 0.3963
0.6037 0.6037 0.6037
0.8717 0.8717 0.8717
0.5000 0.5000 0.5000
```

Results
The formation energy from the elements comes out at -0.1481 eV/atom. The density is 7.8 g cm⁻³. The calculation puts the spin magnetization at 0.00 μB per formula unit. Its space group is No. 166.

Material: HgSO3
Method: DFT, PBE
State: relaxed

The structure in POSCAR format:
```
HgSO3
1.0
3.7899 0.0000 0.0000
0.0000 3.7899 0.0000
0.0000 0.0000 3.7899
Hg S O
1 1 3
Direct
0.0000 0.0000 0.0000
0.5000 0.5000 0.5000
0.0000 0.5000 0.5000
0.5000 0.0000 0.5000
0.5000 0.5000 0.0000
```

Results
The total DFT energy (no corrections) comes out at -3.789 eV/atom. The density is 8.6 g cm⁻³. The calculation puts the spin magnetization at 0.00 μB per formula unit. Its space group is No. 221.

Material: PPdN2
Method: DFT, PBE
State: relaxed

The structure in POSCAR format:
```
PPdN2
1.0
3.2122 -1.7736 0.0000
3.2122 1.7736 0.0000
-1.6848 0.0000 4.5757
P Pd N
1 1 2
Direct
0.0000 0.0000 0.0000
0.2355 0.2355 0.7219
0.4391 0.7871 0.3023
0.7871 0.4391 0.3023
```

Results
The total DFT energy (no corrections) comes out at -6.473 eV/atom. The density is 5.3 g cm⁻³. The calculation puts the spin magnetization at 0.00 μB per formula unit. Its space group is No. 8.

Material: CoTe3Ir
Method: DFT, PBE
State: relaxed

The structure in POSCAR format:
```
CoTe3Ir
1.0
4.8525 0.0000 0.0000
0.0000 4.8525 0.0000
0.0000 0.0000 4.8525
Co Te Ir
1 3 1
Direct
0.0000 0.0000 0.0000
0.0000 0.0000 0.5000
0.0000 0.5000 0.0000
0.5000 0.0000 0.0000
0.5000 0.5000 0.5000
```

Results
The total DFT energy (no corrections) comes out at -4.138 eV/atom. The density is 9.2 g cm⁻³. The calculation puts the spin magnetization at 0.00 μB per formula unit. Its space group is No. 221.

Material: RbNaTeSe3
Method: DFT, PBE
State: relaxed

The structure in POSCAR format:
```
RbNaTeSe3
1.0
3.8326 -7.1754 0.0000
3.8326 7.1754 0.0000
0.0000 0.0000 7.7516
Rb Na Te Se
2 2 2 6
Direct
0.2152 0.7848 0.7500
0.7848 0.2152 0.2500
0.0822 0.9178 0.2500
0.9178 0.0822 0.7500
0.4593 0.5407 0.2500
0.5407 0.4593 0.7500
0.2420 0.2420 0.0000
0.2420 0.2420 0.5000
0.2833 0.7167 0.2500
0.7167 0.2833 0.7500
0.7580 0.7580 0.0000
0.7580 0.7580 0.5000
```

Results
The total DFT energy (no corrections) comes out at -3.229 eV/atom. The density is 3.7 g cm⁻³. The calculation puts the spin magnetization at 0.00 μB per formula unit. Its space group is No. 63.

Material: DyEr2
Method: DFT, PBE
State: relaxed

The structure in POSCAR format:
```
DyEr2
1.0
0.0000 4.5937 4.5937
4.5937 0.0000 4.5937
4.5937 4.5937 0.0000
Dy Er
2 4
Direct
0.1250 0.1250 0.1250
0.8750 0.8750 0.8750
0.0000 0.5000 0.5000
0.5000 0.0000 0.5000
0.5000 0.5000 0.0000
0.5000 0.5000 0.5000
```

Results
The formation energy from the elements comes out at 0.2741 eV/atom. The density is 8.5 g cm⁻³. The calculation puts the spin magnetization at 0.43 μB per formula unit. Its space group is No. 227.

Material: Na4Sr5Mg2
Method: DFT, PBE
State: relaxed

The structure in POSCAR format:
```
Na4Sr5Mg2
1.0
10.1398 0.0000 0.0000
0.0000 21.9724 0.0000
0.0000 0.0000 4.2446
Na Sr Mg
8 10 4
Direct
0.0931 0.1523 0.0000
0.2055 0.4319 0.0000
0.2945 0.9319 0.0000
0.4069 0.6523 0.0000
0.5931 0.3477 0.0000
0.7055 0.0681 0.0000
0.7945 0.5681 0.0000
0.9069 0.8477 0.0000
0.0000 0.0000 0.5000
0.1191 0.5808 0.5000
0.2220 0.7846 0.5000
0.2780 0.2846 0.5000
0.3809 0.0808 0.5000
0.5000 0.5000 0.5000
0.6191 0.9192 0.5000
0.7220 0.7154 0.5000
0.7780 0.2154 0.5000
0.8809 0.4192 0.5000
0.0067 0.6983 0.0000
0.4933 0.1983 0.0000
0.5067 0.8017 0.0000
0.9933 0.3017 0.0000
```

Results
The formation energy from the elements comes out at 0.0309 eV/atom. The density is 2.0 g cm⁻³. The calculation puts the spin magnetization at 0.00 μB per formula unit. Its space group is No. 55.